# Mg2Mo PBE relaxed
data_Mg2Mo
_chemical_formula_sum 'Mg8 Mo4'
_space_group_name_H-M_alt 'C m c m'
_space_group_IT_number 63
_space_group_name_Hall '-C 2c 2'
_cell_length_a 9.734
_cell_length_b 5.079
_cell_length_c 4.515
_cell_angle_alpha 90.00
_cell_angle_beta 90.00
_cell_angle_gamma 90.00
loop_
_atom_site_label
_atom_site_type_symbol
_atom_site_fract_x
_atom_site_fract_y
_atom_site_fract_z
Mg1 Mg 0.162 0.172 0.250
Mo1 Mo 0.000 0.363 0.750
# Energy above the lowest structure with this stoichiometry   111 meV per atom
# Spin magnetization   0.0 μB per formula unit
# VASP energy   -4.30 eV/atom
# ρ   4.3 Mg/m³